First-principles (PBE) data for crystalline CaCo2 at its relaxed geometry, as listed in Alexandria.

Cell and atoms, written as extended XYZ:
```
6
Lattice="-1.291 5.099 2.568 -4.555 2.646 -2.552 0.882 -5.418 2.033" Properties=species:S:1:pos:R:3 pbc="T T T"
Co -2.581 -1.949 0.485
Co -2.384 4.276 1.565
Ca -4.385 5.809 0.012
Co -0.799 -0.606 1.368
Co -4.165 2.934 0.682
Ca -1.462 1.936 0.004
```

Output
The calculation puts the calculated volume at 104 Å³ per cell. The value obtained for the calculated formation energy is 209.5 meV/atom. Its calculated total energy is -5.195 eV/atom. The total magnetization is 4.6 Bohr magnetons per cell. For the density of states at the Fermi level, the calculation gives 5.42 states/eV per cell.